Version 1
A plane-wave DFT calculation with GGA-PBE was carried out for an optimized crystal structure of YCoRe2.

Cell lengths 3.0027, 4.2234, 5.5300 Å; angles 90.00, 102.96, 90.00 degrees
Sites, in units of the cell vectors:
Y  0.0000  0.0000  0.0000
Co  0.5807  0.5000  0.1985
Re  0.2608  0.5000  0.5893
Re  0.6732  0.0000  0.4858

SG: Pm
N(E_F) (states/eV/atom): 1.22
Calculated volume (A^3/atom): 17.1


Version 2
A plane-wave DFT calculation with GGA-PBE was carried out for an optimized crystal structure of YCoRe2.

Cell lengths 5.2432, 5.2432, 2.7917 Å; angles 90.00, 90.00, 120.15 degrees
Sites, in units of the cell vectors:
Y  0.0000  0.0000  0.0000
Co  0.5000  0.5000  0.0000
Re  0.0000  0.5000  0.5000
Re  0.5000  0.0000  0.5000

SG: Cmmm
N(E_F) (states/eV/atom): 1.11
Calculated volume (A^3/atom): 16.6


Energy above the most stable structure, in kJ/mol of atoms: version 1 0.0; version 2 32.0


Version 1
A plane-wave DFT calculation with GGA-PBE was carried out for an optimized crystal structure of YCoRe2.

Cell lengths 4.4921, 4.4921, 4.4921 Å; angles 60.00, 60.00, 60.00 degrees
Sites, in units of the cell vectors:
Y  0.0000  0.0000  0.0000
Co  0.5000  0.5000  0.5000
Re  0.2500  0.2500  0.2500
Re  0.7500  0.7500  0.7500

SG: Fm-3m
N(E_F) (states/eV/atom): 1.47
Calculated volume (A^3/atom): 16.0


Version 2
A plane-wave DFT calculation with GGA-PBE was carried out for an optimized crystal structure of YCoRe2.

Cell lengths 4.5224, 4.5224, 4.5224 Å; angles 60.00, 60.00, 60.00 degrees
Sites, in units of the cell vectors:
Y  0.0000  0.0000  0.0000
Co  0.7500  0.7500  0.7500
Re  0.2500  0.2500  0.2500
Re  0.5000  0.5000  0.5000

SG: F-43m
N(E_F) (states/eV/atom): 0.51
Calculated volume (A^3/atom): 16.4


Energy above the most stable structure, in kJ/mol of atoms: version 1 52.7; version 2 0.0


Version 1
A plane-wave DFT calculation with GGA-PBE was carried out for an optimized crystal structure of YCoRe2.

Cell lengths 5.8079, 5.8079, 4.5444 Å; angles 112.60, 112.60, 27.57 degrees
Sites, in units of the cell vectors:
Y  0.0000  0.0000  0.0000
Co  0.5000  0.5000  0.5000
Re  0.2132  0.2132  0.7133
Re  0.7868  0.7868  0.2867

SG: C2/m
N(E_F) (states/eV/atom): 1.14
Calculated volume (A^3/atom): 16.3


Version 2
A plane-wave DFT calculation with GGA-PBE was carried out for an optimized crystal structure of YCoRe2.

Cell lengths 4.6460, 4.6460, 5.4524 Å; angles 100.40, 100.40, 37.24 degrees
Sites, in units of the cell vectors:
Y  0.0000  0.0000  0.0000
Co  0.7569  0.7569  0.2674
Re  0.2254  0.2254  0.6335
Re  0.4821  0.4821  0.4889

SG: Cm
N(E_F) (states/eV/atom): 0.99
Calculated volume (A^3/atom): 17.5


Energy above the most stable structure, in kJ/mol of atoms: version 1 0.0; version 2 12.6


Version 1
A plane-wave DFT calculation with GGA-PBE was carried out for an optimized crystal structure of YCoRe2.

Cell lengths 2.7676, 3.2817, 7.3404 Å; angles 90.00, 90.00, 90.00 degrees
Sites, in units of the cell vectors:
Y  0.0000  0.0000  0.0000
Co  0.0000  0.0000  0.5000
Re  0.5000  0.5000  0.3147
Re  0.5000  0.5000  0.6853

SG: Pmmm
N(E_F) (states/eV/atom): 1.05
Calculated volume (A^3/atom): 16.7


Version 2
A plane-wave DFT calculation with GGA-PBE was carried out for an optimized crystal structure of YCoRe2.

Cell lengths 5.2911, 5.2911, 5.2911 Å; angles 144.92, 126.25, 65.82 degrees
Sites, in units of the cell vectors:
Y  0.0000  0.0000  0.0000
Co  0.2718  0.7718  0.5000
Re  0.4953  0.4953  0.0000
Re  0.7170  0.2170  0.5000

SG: Imm2
N(E_F) (states/eV/atom): 1.19
Calculated volume (A^3/atom): 16.9


Version 3
A plane-wave DFT calculation with GGA-PBE was carried out for an optimized crystal structure of YCoRe2.

Cell lengths 8.7969, 8.7969, 8.7969 Å; angles 149.15, 149.15, 44.19 degrees
Sites, in units of the cell vectors:
Y  0.0000  0.0000  0.0000
Y  0.7500  0.2500  0.5000
Co  0.2500  0.7500  0.5000
Co  0.5000  0.5000  0.0000
Re  0.3322  0.6250  0.2072
Re  0.3750  0.5822  0.7072
Re  0.4178  0.1250  0.7928
Re  0.8750  0.6678  0.2928

SG: I-42d
N(E_F) (states/eV/atom): 1.25
Calculated volume (A^3/atom): 22.3


Energy above the most stable structure, in kJ/mol of atoms: version 1 0.0; version 2 2.7; version 3 41.4


Version 1
A plane-wave DFT calculation with GGA-PBE was carried out for an optimized crystal structure of YCoRe.

Cell lengths 3.0790, 3.0790, 6.4644 Å; angles 90.00, 90.00, 120.00 degrees
Sites, in units of the cell vectors:
Y  0.0000  0.0000  0.0000
Co  0.6667  0.3333  0.3622
Re  0.3333  0.6667  0.6231

SG: P3m1
N(E_F) (states/eV/atom): 1.22
Calculated volume (A^3/atom): 17.7


Version 2
A plane-wave DFT calculation with GGA-PBE was carried out for an optimized crystal structure of YCoRe.

Cell lengths 6.0847, 6.0847, 6.0847 Å; angles 151.26, 151.26, 41.10 degrees
Sites, in units of the cell vectors:
Y  0.0000  0.0000  0.0000
Co  0.3058  0.3058  0.0000
Re  0.6983  0.6983  0.0000

SG: I4mm
N(E_F) (states/eV/atom): 0.66
Calculated volume (A^3/atom): 17.3


Version 3
A plane-wave DFT calculation with GGA-PBE was carried out for an optimized crystal structure of YCoRe.

Cell lengths 3.9727, 3.9727, 4.2789 Å; angles 90.00, 90.00, 120.00 degrees
Sites, in units of the cell vectors:
Y  0.0000  0.0000  0.0000
Co  0.3333  0.6667  0.5000
Re  0.6667  0.3333  0.5000

SG: P-6m2
N(E_F) (states/eV/atom): 0.84
Calculated volume (A^3/atom): 19.5


Version 4
A plane-wave DFT calculation with GGA-PBE was carried out for an optimized crystal structure of YCoRe.

Cell lengths 5.2852, 5.2852, 5.2852 Å; angles 122.83, 118.35, 89.02 degrees
Sites, in units of the cell vectors:
Y  0.3724  0.1224  0.2500
Y  0.6276  0.8776  0.7500
Co  0.0000  0.5000  0.5000
Co  0.5000  0.5000  0.0000
Re  0.0000  0.0000  0.5000
Re  0.0000  0.5000  0.0000

SG: Imma
N(E_F) (states/eV/atom): 1.07
Calculated volume (A^3/atom): 17.2


Energy above the most stable structure, in kJ/mol of atoms: version 1 73.3; version 2 30.4; version 3 21.6; version 4 0.0


Version 1
A plane-wave DFT calculation with GGA-PBE was carried out for an optimized crystal structure of YCoRe.

Cell lengths 4.4873, 4.4873, 4.4873 Å; angles 60.00, 60.00, 60.00 degrees
Sites, in units of the cell vectors:
Y  0.0000  0.0000  0.0000
Co  0.7500  0.7500  0.7500
Re  0.2500  0.2500  0.2500

SG: F-43m
N(E_F) (states/eV/atom): 0.86
Calculated volume (A^3/atom): 21.3


Version 2
A plane-wave DFT calculation with GGA-PBE was carried out for an optimized crystal structure of YCoRe.

Cell lengths 4.3280, 4.3280, 4.3280 Å; angles 60.00, 60.00, 60.00 degrees
Sites, in units of the cell vectors:
Y  0.0000  0.0000  0.0000
Co  0.7500  0.7500  0.7500
Re  0.5000  0.5000  0.5000

SG: F-43m
N(E_F) (states/eV/atom): 1.53
Calculated volume (A^3/atom): 19.1


Energy above the most stable structure, in kJ/mol of atoms: version 1 98.8; version 2 0.0


Version 1
A plane-wave DFT calculation with GGA-PBE was carried out for an optimized crystal structure of YCo2Re2.

Cell lengths 6.0335, 6.0335, 6.0335 Å; angles 142.64, 142.64, 53.87 degrees
Sites, in units of the cell vectors:
Y  0.0000  0.0000  0.0000
Co  0.3944  0.3944  0.0000
Co  0.6056  0.6056  0.0000
Re  0.2500  0.7500  0.5000
Re  0.7500  0.2500  0.5000

SG: I4/mmm
N(E_F) (states/eV/atom): 1.19
Calculated volume (A^3/atom): 16.1


Version 2
A plane-wave DFT calculation with GGA-PBE was carried out for an optimized crystal structure of YCo2Re2.

Cell lengths 7.4820, 7.4820, 2.6777 Å; angles 90.00, 90.00, 90.00 degrees
Sites, in units of the cell vectors:
Y  0.0000  0.0000  0.0000
Y  0.5000  0.5000  0.0000
Co  0.1195  0.3805  0.0000
Co  0.3805  0.8805  0.0000
Co  0.6195  0.1195  0.0000
Co  0.8805  0.6195  0.0000
Re  0.1708  0.6708  0.5000
Re  0.3292  0.1708  0.5000
Re  0.6708  0.8292  0.5000
Re  0.8292  0.3292  0.5000

SG: P4/mbm
N(E_F) (states/eV/atom): 1.09
Calculated volume (A^3/atom): 15.0


Energy above the most stable structure, in kJ/mol of atoms: version 1 0.0; version 2 15.8


Version 1
A plane-wave DFT calculation with GGA-PBE was carried out for an optimized crystal structure of ZrCoRe2.

Cell lengths 9.3035, 9.3035, 9.3035 Å; angles 17.38, 17.38, 17.38 degrees
Sites, in units of the cell vectors:
Zr  0.0000  0.0000  0.0000
Co  0.2476  0.2476  0.2476
Re  0.5058  0.5058  0.5058
Re  0.7614  0.7614  0.7614

SG: R3m
N(E_F) (states/eV/atom): 1.22
Calculated volume (A^3/atom): 15.7


Version 2
A plane-wave DFT calculation with GGA-PBE was carried out for an optimized crystal structure of ZrCoRe2.

Cell lengths 4.4324, 4.4324, 4.4324 Å; angles 60.00, 60.00, 60.00 degrees
Sites, in units of the cell vectors:
Zr  0.0000  0.0000  0.0000
Co  0.5000  0.5000  0.5000
Re  0.2500  0.2500  0.2500
Re  0.7500  0.7500  0.7500

SG: Fm-3m
N(E_F) (states/eV/atom): 2.71
Calculated volume (A^3/atom): 15.4


Version 3
A plane-wave DFT calculation with GGA-PBE was carried out for an optimized crystal structure of ZrCoRe2.

Cell lengths 3.1861, 4.3107, 4.5336 Å; angles 90.00, 90.00, 90.00 degrees
Sites, in units of the cell vectors:
Zr  0.0000  0.0000  0.0000
Co  0.5000  0.5000  0.0000
Re  0.0000  0.5000  0.5000
Re  0.5000  0.0000  0.5000

SG: Pmmm
N(E_F) (states/eV/atom): 1.09
Calculated volume (A^3/atom): 15.6


Energy above the most stable structure, in kJ/mol of atoms: version 1 22.1; version 2 34.9; version 3 0.0


Version 1
A plane-wave DFT calculation with GGA-PBE was carried out for an optimized crystal structure of ZrCoRe2.

Cell lengths 3.0751, 3.0751, 6.7116 Å; angles 90.00, 90.00, 90.00 degrees
Sites, in units of the cell vectors:
Zr  0.0000  0.0000  0.0000
Co  0.5000  0.5000  0.2707
Re  0.0000  0.0000  0.4859
Re  0.5000  0.5000  0.7053

SG: P4mm
N(E_F) (states/eV/atom): 0.98
Calculated volume (A^3/atom): 15.9


Version 2
A plane-wave DFT calculation with GGA-PBE was carried out for an optimized crystal structure of ZrCoRe2.

Cell lengths 4.7570, 4.7570, 4.8178 Å; angles 101.32, 101.32, 36.51 degrees
Sites, in units of the cell vectors:
Zr  0.0000  0.0000  0.0000
Co  0.2470  0.2470  0.7898
Re  0.5123  0.5123  0.5123
Re  0.7706  0.7706  0.3506

SG: Cm
N(E_F) (states/eV/atom): 1.05
Calculated volume (A^3/atom): 15.9


Energy above the most stable structure, in kJ/mol of atoms: version 1 0.0; version 2 15.8


Version 1
A plane-wave DFT calculation with GGA-PBE was carried out for an optimized crystal structure of ZrCoRe2.

Cell lengths 2.7361, 4.5717, 5.0564 Å; angles 90.00, 98.37, 90.00 degrees
Sites, in units of the cell vectors:
Zr  0.0000  0.0000  0.0000
Co  0.5000  0.0000  0.5000
Re  0.2642  0.5000  0.7422
Re  0.7358  0.5000  0.2578

SG: P2/m
N(E_F) (states/eV/atom): 1.17
Calculated volume (A^3/atom): 15.6


Version 2
A plane-wave DFT calculation with GGA-PBE was carried out for an optimized crystal structure of ZrCoRe2.

Cell lengths 2.7179, 2.7179, 8.2787 Å; angles 90.00, 90.00, 90.00 degrees
Sites, in units of the cell vectors:
Zr  0.0000  0.0000  0.0000
Co  0.0000  0.0000  0.5000
Re  0.5000  0.5000  0.2892
Re  0.5000  0.5000  0.7108

SG: P4/mmm
N(E_F) (states/eV/atom): 1.11
Calculated volume (A^3/atom): 15.3


Version 3
A plane-wave DFT calculation with GGA-PBE was carried out for an optimized crystal structure of ZrCoRe2.

Cell lengths 4.9527, 4.9527, 2.8139 Å; angles 90.00, 90.00, 115.04 degrees
Sites, in units of the cell vectors:
Zr  0.0000  0.0000  0.0000
Co  0.5000  0.5000  0.0000
Re  0.0000  0.5000  0.5000
Re  0.5000  0.0000  0.5000

SG: Cmmm
N(E_F) (states/eV/atom): 1.10
Calculated volume (A^3/atom): 15.6


Version 4
A plane-wave DFT calculation with GGA-PBE was carried out for an optimized crystal structure of ZrCoRe2.

Cell lengths 2.8742, 4.3090, 5.1386 Å; angles 90.00, 100.65, 90.00 degrees
Sites, in units of the cell vectors:
Zr  0.0000  0.0000  0.0000
Co  0.5658  0.5000  0.1858
Re  0.2640  0.5000  0.6500
Re  0.6115  0.0000  0.4865

SG: Pm
N(E_F) (states/eV/atom): 1.02
Calculated volume (A^3/atom): 15.6


Energy above the most stable structure, in kJ/mol of atoms: version 1 9.2; version 2 6.5; version 3 24.4; version 4 0.0


Version 1
A plane-wave DFT calculation with GGA-PBE was carried out for an optimized crystal structure of ZrCoRe2.

Cell lengths 5.0466, 5.0466, 5.0466 Å; angles 135.49, 135.49, 64.78 degrees
Sites, in units of the cell vectors:
Zr  0.0000  0.0000  0.0000
Co  0.5000  0.5000  0.0000
Re  0.2500  0.7500  0.5000
Re  0.7500  0.2500  0.5000

SG: I4/mmm
N(E_F) (states/eV/atom): 1.40
Calculated volume (A^3/atom): 15.6


Version 2
A plane-wave DFT calculation with GGA-PBE was carried out for an optimized crystal structure of ZrCoRe2.

Cell lengths 3.1671, 3.2061, 6.1993 Å; angles 90.00, 90.00, 90.00 degrees
Sites, in units of the cell vectors:
Zr  0.0000  0.0000  0.0000
Co  0.0000  0.0000  0.5000
Re  0.5000  0.5000  0.2985
Re  0.5000  0.5000  0.7015

SG: Pmmm
N(E_F) (states/eV/atom): 1.10
Calculated volume (A^3/atom): 15.7


Version 3
A plane-wave DFT calculation with GGA-PBE was carried out for an optimized crystal structure of ZrCoRe2.

Cell lengths 5.1675, 5.1675, 5.1675 Å; angles 144.09, 128.08, 64.74 degrees
Sites, in units of the cell vectors:
Zr  0.0000  0.0000  0.0000
Co  0.7379  0.2379  0.5000
Re  0.2644  0.7644  0.5000
Re  0.4966  0.4966  0.0000

SG: Imm2
N(E_F) (states/eV/atom): 1.16
Calculated volume (A^3/atom): 15.7


Version 4
A plane-wave DFT calculation with GGA-PBE was carried out for an optimized crystal structure of ZrCoRe2.

Cell lengths 4.3044, 4.3044, 3.3541 Å; angles 90.00, 90.00, 90.00 degrees
Sites, in units of the cell vectors:
Zr  0.0000  0.0000  0.0000
Co  0.5000  0.5000  0.0000
Re  0.0000  0.5000  0.5000
Re  0.5000  0.0000  0.5000

SG: P4/mmm
N(E_F) (states/eV/atom): 1.36
Calculated volume (A^3/atom): 15.5


Energy above the most stable structure, in kJ/mol of atoms: version 1 5.2; version 2 4.0; version 3 0.0; version 4 11.3